# PBE-GGA NaSnSeI, relaxed
# raw formation energy	-725	meV/atom
# V	139.38	Å³/cell
data_NaSnSeI
_chemical_formula_sum 'Na1 Sn1 Se1 I1'
_cell_length_a 4.4257
_cell_length_b 4.4257
_cell_length_c 8.2164
_cell_angle_alpha 90.00
_cell_angle_beta 90.00
_cell_angle_gamma 120.00
_space_group_name_H-M_alt 'P 3 m 1'
_space_group_IT_number 156
_space_group_name_Hall 'P 3 -2"'
loop_
_atom_site_label
_atom_site_fract_x
_atom_site_fract_y
_atom_site_fract_z
Na1 0.0000 0.0000 0.0000
Sn1 0.6667 0.3333 0.6299
Se1 0.3333 0.6667 0.8191
I1 0.0000 0.0000 0.3716